DFT (PBE) results for a relaxed structure of ScAgPbS3. Values from VASP.

The structure in Quantum ESPRESSO input format:
```
&SYSTEM
  ibrav = 0, nat = 12, ntyp = 4
/
ATOMIC_SPECIES
Pb 207.20 Pb.upf
Sc 44.96 Sc.upf
S 32.06 S.upf
Ag 107.87 Ag.upf
ATOMIC_POSITIONS crystal
Pb 0.2302 0.7500 0.7068
Pb 0.7698 0.2500 0.2932
Sc 0.8079 0.7500 0.8486
Sc 0.1921 0.2500 0.1514
S 0.0622 0.2500 0.8709
S 0.8019 0.7500 0.5559
S 0.5755 0.2500 0.8530
S 0.1981 0.2500 0.4441
S 0.9378 0.7500 0.1291
S 0.4245 0.7500 0.1470
Ag 0.4002 0.7500 0.4005
Ag 0.5998 0.2500 0.5995
CELL_PARAMETERS angstrom
7.4121 0.0000 0.0000
0.0000 3.8855 0.0000
-2.7446 0.0000 9.1321
```


DFT (PBE) results for a relaxed structure of PrTlSi. Values from VASP.

The structure in Quantum ESPRESSO input format:
```
&SYSTEM
  ibrav = 0, nat = 3, ntyp = 3
/
ATOMIC_SPECIES
Tl 204.38 Tl.upf
Si 28.09 Si.upf
Pr 140.91 Pr.upf
ATOMIC_POSITIONS crystal
Tl 0.7500 0.7500 0.7500
Si 0.0000 0.0000 0.0000
Pr 0.2500 0.2500 0.2500
CELL_PARAMETERS angstrom
0.1690 -0.3565 4.9078
1.2436 3.9171 2.7114
-3.3954 2.2678 2.7514
```


DFT (PBE) results for a relaxed structure of NaTmTeO. Values from VASP.

The structure in Quantum ESPRESSO input format:
```
&SYSTEM
  ibrav = 0, nat = 8, ntyp = 4
/
ATOMIC_SPECIES
O 16.00 O.upf
Tm 168.93 Tm.upf
Te 127.60 Te.upf
Na 22.99 Na.upf
ATOMIC_POSITIONS crystal
O 0.5000 0.1101 0.1905
O 0.5000 0.8899 0.6905
Tm 0.5000 0.8877 0.0121
Tm 0.5000 0.1123 0.5121
Te 0.0000 0.6822 0.1563
Te 0.0000 0.3178 0.6563
Na 0.0000 0.7266 0.6321
Na 0.0000 0.2734 0.1321
CELL_PARAMETERS angstrom
4.5007 0.0000 0.0000
0.0000 7.7246 0.0000
0.0000 0.0000 6.4575
```


Raw total energy for every record listed, in sequence, given in eV/atom: -5.138, -4.296, -5.393.
Excess energy over the best structure of this formula in the dataset for every record listed, in sequence, given in meV per atom: 0, 0, 145.